1.
First-principles (PBE) data for a relaxed NdTeAuO crystal, as listed in OQMD via LeMat-Bulk.

Results
As for the crystal system: orthorhombic. The value obtained for the volume is 21.5 A^3/atom. The raw total energy comes out at -5.76 eV per atom.

```
data_NdTeAuO
_chemical_formula_sum 'Nd4 Te4 Au4 O4'
_cell_length_a 5.868
_cell_length_b 5.868
_cell_length_c 9.996
_cell_angle_alpha 90.00
_cell_angle_beta 90.00
_cell_angle_gamma 90.00
_symmetry_space_group_name_H-M 'P 1'
_symmetry_Int_Tables_number 1
loop_
_symmetry_equiv_pos_as_xyz
'x,y,z'
loop_
_atom_site_label
_atom_site_type_symbol
_atom_site_fract_x
_atom_site_fract_y
_atom_site_fract_z
Nd1 Nd 0.000 0.750 0.115
Nd2 Nd 0.000 0.250 0.885
Nd3 Nd 0.500 0.750 0.885
Nd4 Nd 0.500 0.250 0.115
Au1 Au 0.250 0.000 0.499
Au2 Au 0.250 0.500 0.499
Au3 Au 0.750 0.000 0.501
Au4 Au 0.750 0.500 0.501
Te1 Te 0.499 0.250 0.706
Te2 Te 0.001 0.750 0.706
Te3 Te 0.999 0.250 0.294
Te4 Te 0.501 0.750 0.294
O1 O 0.250 0.000 0.000
O2 O 0.750 0.500 0.000
O3 O 0.750 0.000 0.000
O4 O 0.250 0.500 0.000
```

---

2.
First-principles (PBE) data for a relaxed NdTeAuO crystal, as listed in OQMD via LeMat-Bulk.

Results
As for the crystal system: orthorhombic. The value obtained for the volume is 21.6 A^3/atom. The raw total energy comes out at -5.76 eV per atom.

```
data_NdTeAuO
_chemical_formula_sum 'Nd4 Te4 Au4 O4'
_cell_length_a 5.862
_cell_length_b 10.057
_cell_length_c 5.864
_cell_angle_alpha 90.00
_cell_angle_beta 90.00
_cell_angle_gamma 90.00
_symmetry_space_group_name_H-M 'P 1'
_symmetry_Int_Tables_number 1
loop_
_symmetry_equiv_pos_as_xyz
'x,y,z'
loop_
_atom_site_label
_atom_site_type_symbol
_atom_site_fract_x
_atom_site_fract_y
_atom_site_fract_z
Au1 Au 0.273 0.497 0.786
Au2 Au 0.227 0.497 0.286
Au3 Au 0.773 0.497 0.714
Au4 Au 0.727 0.497 0.214
O1 O 0.749 0.001 0.249
O2 O 0.251 0.001 0.751
O3 O 0.249 0.001 0.251
O4 O 0.751 0.001 0.749
Te1 Te 0.000 0.294 0.000
Te2 Te 0.000 0.708 0.500
Te3 Te 0.500 0.294 0.500
Te4 Te 0.500 0.708 0.000
Nd1 Nd 0.500 0.115 0.000
Nd2 Nd 0.000 0.886 0.000
Nd3 Nd 0.500 0.886 0.500
Nd4 Nd 0.000 0.115 0.500
```

---

3.
First-principles (PBE) data for a relaxed NdTeAuO crystal, as listed in OQMD via LeMat-Bulk.

Results
As for the crystal system: tetragonal. The value obtained for the volume is 21.5 A^3/atom. The raw total energy comes out at -5.76 eV per atom.

```
data_NdTeAuO
_chemical_formula_sum 'Nd4 Te4 Au4 O4'
_cell_length_a 5.870
_cell_length_b 5.871
_cell_length_c 9.968
_cell_angle_alpha 90.00
_cell_angle_beta 90.00
_cell_angle_gamma 90.00
_symmetry_space_group_name_H-M 'P 1'
_symmetry_Int_Tables_number 1
loop_
_symmetry_equiv_pos_as_xyz
'x,y,z'
loop_
_atom_site_label
_atom_site_type_symbol
_atom_site_fract_x
_atom_site_fract_y
_atom_site_fract_z
Au1 Au 0.750 0.750 0.500
Au2 Au 0.750 0.250 0.500
Au3 Au 0.250 0.250 0.500
Au4 Au 0.250 0.750 0.500
O1 O 0.750 0.750 0.000
O2 O 0.250 0.250 0.000
O3 O 0.250 0.750 0.000
O4 O 0.750 0.250 0.000
Te1 Te 0.500 0.500 0.707
Te2 Te 0.000 0.000 0.707
Te3 Te 0.000 0.500 0.293
Te4 Te 0.500 0.000 0.293
Nd1 Nd 0.000 0.500 0.884
Nd2 Nd 0.500 0.000 0.884
Nd3 Nd 0.500 0.500 0.115
Nd4 Nd 0.000 0.000 0.115
```

---

4.
First-principles (PBE) data for a relaxed NdTeAuO crystal, as listed in OQMD via LeMat-Bulk.

Results
As for the crystal system: orthorhombic. The value obtained for the volume is 23.4 A^3/atom. The raw total energy comes out at -5.35 eV per atom.

```
data_NdTeAuO
_chemical_formula_sum 'Nd2 Te2 Au2 O2'
_cell_length_a 4.568
_cell_length_b 5.819
_cell_length_c 7.048
_cell_angle_alpha 90.00
_cell_angle_beta 90.00
_cell_angle_gamma 90.00
_symmetry_space_group_name_H-M 'P 1'
_symmetry_Int_Tables_number 1
loop_
_symmetry_equiv_pos_as_xyz
'x,y,z'
loop_
_atom_site_label
_atom_site_type_symbol
_atom_site_fract_x
_atom_site_fract_y
_atom_site_fract_z
Nd1 Nd 0.500 0.775 0.954
Nd2 Nd 0.500 0.225 0.454
Au1 Au 0.000 0.847 0.591
Au2 Au 0.000 0.153 0.091
Te1 Te 0.000 0.607 0.264
Te2 Te 0.000 0.393 0.764
O1 O 0.500 0.038 0.182
O2 O 0.500 0.962 0.682
```

---

5.
First-principles (PBE) data for a relaxed NdTeAuO crystal, as listed in OQMD via LeMat-Bulk.

Results
As for the crystal system: tetragonal. The value obtained for the volume is 21.5 A^3/atom. The raw total energy comes out at -5.76 eV per atom.

```
data_NdTeAuO
_chemical_formula_sum 'Nd4 Te4 Au4 O4'
_cell_length_a 5.868
_cell_length_b 5.868
_cell_length_c 9.998
_cell_angle_alpha 90.00
_cell_angle_beta 90.00
_cell_angle_gamma 90.00
_symmetry_space_group_name_H-M 'P 1'
_symmetry_Int_Tables_number 1
loop_
_symmetry_equiv_pos_as_xyz
'x,y,z'
loop_
_atom_site_label
_atom_site_type_symbol
_atom_site_fract_x
_atom_site_fract_y
_atom_site_fract_z
Te1 Te 0.250 0.250 0.706
Te2 Te 0.750 0.750 0.706
Te3 Te 0.750 0.250 0.294
Te4 Te 0.250 0.750 0.294
Au1 Au 0.500 0.000 0.500
Au2 Au 0.500 0.500 0.500
Au3 Au 0.000 0.000 0.500
Au4 Au 0.000 0.500 0.500
Nd1 Nd 0.250 0.250 0.115
Nd2 Nd 0.750 0.750 0.115
Nd3 Nd 0.750 0.250 0.885
Nd4 Nd 0.250 0.750 0.885
O1 O 0.500 0.000 0.000
O2 O 0.500 0.500 0.000
O3 O 0.000 0.500 0.000
O4 O 0.000 0.000 0.000
```

---

6.
First-principles (PBE) data for a relaxed NdTeAuO crystal, as listed in OQMD via LeMat-Bulk.

Results
As for the crystal system: tetragonal. The value obtained for the volume is 21.6 A^3/atom. The raw total energy comes out at -5.76 eV per atom.

```
data_NdTeAuO
_chemical_formula_sum 'Nd4 Te4 Au4 O4'
_cell_length_a 5.856
_cell_length_b 5.856
_cell_length_c 10.070
_cell_angle_alpha 90.00
_cell_angle_beta 90.00
_cell_angle_gamma 90.00
_symmetry_space_group_name_H-M 'P 1'
_symmetry_Int_Tables_number 1
loop_
_symmetry_equiv_pos_as_xyz
'x,y,z'
loop_
_atom_site_label
_atom_site_type_symbol
_atom_site_fract_x
_atom_site_fract_y
_atom_site_fract_z
Nd1 Nd 0.500 0.000 0.115
Nd2 Nd 0.500 0.500 0.886
Nd3 Nd 0.000 0.000 0.886
Nd4 Nd 0.000 0.500 0.115
O1 O 0.249 0.251 0.001
O2 O 0.251 0.751 0.001
O3 O 0.751 0.749 0.001
O4 O 0.749 0.249 0.001
Te1 Te 0.000 0.000 0.295
Te2 Te 0.500 0.500 0.295
Te3 Te 0.000 0.500 0.708
Te4 Te 0.500 0.000 0.708
Au1 Au 0.221 0.279 0.497
Au2 Au 0.779 0.721 0.497
Au3 Au 0.279 0.779 0.497
Au4 Au 0.721 0.221 0.497
```

---

7.
First-principles (PBE) data for a relaxed NdTeAuO crystal, as listed in OQMD via LeMat-Bulk.

Results
As for the crystal system: orthorhombic. The value obtained for the volume is 22.4 A^3/atom. The raw total energy comes out at -5.80 eV per atom.

```
data_NdTeAuO
_chemical_formula_sum 'Nd4 Te4 Au4 O4'
_cell_length_a 4.156
_cell_length_b 4.156
_cell_length_c 20.720
_cell_angle_alpha 90.00
_cell_angle_beta 90.00
_cell_angle_gamma 90.26
_symmetry_space_group_name_H-M 'P 1'
_symmetry_Int_Tables_number 1
loop_
_symmetry_equiv_pos_as_xyz
'x,y,z'
loop_
_atom_site_label
_atom_site_type_symbol
_atom_site_fract_x
_atom_site_fract_y
_atom_site_fract_z
Te1 Te 0.964 0.533 0.142
Te2 Te 0.464 0.033 0.358
Te3 Te 0.967 0.536 0.642
Te4 Te 0.467 0.036 0.858
O1 O 0.965 0.035 0.000
O2 O 0.965 0.035 0.500
O3 O 0.465 0.535 0.000
O4 O 0.465 0.535 0.500
Nd1 Nd 0.965 0.535 0.445
Nd2 Nd 0.965 0.535 0.945
Nd3 Nd 0.465 0.035 0.055
Nd4 Nd 0.465 0.035 0.555
Au1 Au 0.721 0.284 0.750
Au2 Au 0.716 0.279 0.250
Au3 Au 0.221 0.784 0.750
Au4 Au 0.216 0.779 0.250
```

---

8.
First-principles (PBE) data for a relaxed NdTeAuO crystal, as listed in OQMD via LeMat-Bulk.

Results
As for the crystal system: tetragonal. The value obtained for the volume is 21.5 A^3/atom. The raw total energy comes out at -5.76 eV per atom.

```
data_NdTeAuO
_chemical_formula_sum 'Nd2 Te2 Au2 O2'
_cell_length_a 4.152
_cell_length_b 4.152
_cell_length_c 9.964
_cell_angle_alpha 90.00
_cell_angle_beta 90.00
_cell_angle_gamma 90.00
_symmetry_space_group_name_H-M 'P 1'
_symmetry_Int_Tables_number 1
loop_
_symmetry_equiv_pos_as_xyz
'x,y,z'
loop_
_atom_site_label
_atom_site_type_symbol
_atom_site_fract_x
_atom_site_fract_y
_atom_site_fract_z
O1 O 0.750 0.250 0.000
O2 O 0.250 0.750 0.000
Te1 Te 0.250 0.250 0.707
Te2 Te 0.750 0.750 0.293
Au1 Au 0.250 0.750 0.500
Au2 Au 0.750 0.250 0.500
Nd1 Nd 0.750 0.750 0.885
Nd2 Nd 0.250 0.250 0.115
```

---

9.
First-principles (PBE) data for a relaxed NdTeAuO crystal, as listed in OQMD via LeMat-Bulk.

Results
As for the crystal system: monoclinic. The value obtained for the volume is 20.4 A^3/atom. The raw total energy comes out at -5.61 eV per atom.

```
data_NdTeAuO
_chemical_formula_sum 'Nd4 Te4 Au4 O4'
_cell_length_a 7.744
_cell_length_b 6.493
_cell_length_c 6.480
_cell_angle_alpha 90.00
_cell_angle_beta 89.41
_cell_angle_gamma 90.00
_symmetry_space_group_name_H-M 'P 1'
_symmetry_Int_Tables_number 1
loop_
_symmetry_equiv_pos_as_xyz
'x,y,z'
loop_
_atom_site_label
_atom_site_type_symbol
_atom_site_fract_x
_atom_site_fract_y
_atom_site_fract_z
Au1 Au 0.053 0.705 0.992
Au2 Au 0.947 0.295 0.008
Au3 Au 0.947 0.205 0.508
Au4 Au 0.053 0.795 0.492
Nd1 Nd 0.612 0.481 0.243
Nd2 Nd 0.388 0.981 0.257
Nd3 Nd 0.388 0.519 0.757
Nd4 Nd 0.612 0.019 0.743
Te1 Te 0.196 0.469 0.295
Te2 Te 0.804 0.969 0.205
Te3 Te 0.804 0.531 0.705
Te4 Te 0.196 0.031 0.795
O1 O 0.504 0.743 0.004
O2 O 0.496 0.243 0.496
O3 O 0.496 0.257 0.996
O4 O 0.504 0.757 0.504
```

---

10.
First-principles (PBE) data for a relaxed NdTlAu3O4 crystal, as listed in OQMD via LeMat-Bulk.

Results
As for the crystal system: cubic. The value obtained for the volume is 19.3 A^3/atom. The raw total energy comes out at -4.41 eV per atom.

```
data_NdTlAu3O4
_chemical_formula_sum 'Nd1 Tl1 Au3 O4'
_cell_length_a 5.579
_cell_length_b 5.579
_cell_length_c 5.579
_cell_angle_alpha 90.00
_cell_angle_beta 90.00
_cell_angle_gamma 90.00
_symmetry_space_group_name_H-M 'P 1'
_symmetry_Int_Tables_number 1
loop_
_symmetry_equiv_pos_as_xyz
'x,y,z'
loop_
_atom_site_label
_atom_site_type_symbol
_atom_site_fract_x
_atom_site_fract_y
_atom_site_fract_z
O1 O 0.752 0.248 0.248
O2 O 0.752 0.752 0.752
O3 O 0.248 0.248 0.752
O4 O 0.248 0.752 0.248
Nd1 Nd 0.000 0.000 0.000
Au1 Au 0.000 0.500 0.000
Au2 Au 0.500 0.000 0.000
Au3 Au 0.000 0.000 0.500
Tl1 Tl 0.500 0.500 0.500
```